{
  "formula": "Nb2AgTe",
  "functional": "PBE",
  "state": "optimized geometry",
  "cell": [[-3.094, 0.335, 2.516], [2.106, -1.876, 2.840], [3.182, 8.362, 5.984]],
  "species": ["Nb", "Nb", "Nb", "Nb", "Te", "Te", "Ag", "Ag"],
  "frac_coords": [[0.630, 0.125, 0.250], [0.120, 0.625, 0.250], [0.375, 0.370, 0.750], [0.875, 0.880, 0.750], [0.000, 0.000, 0.000], [0.750, 0.250, 0.500], [0.500, 0.500, 0.000], [0.250, 0.750, 0.500]]
}

---

{
  "formula": "SrSnPb2",
  "functional": "PBE",
  "state": "optimized geometry",
  "cell": [[-1.293, 4.659, -1.157], [-4.518, -0.769, 1.951], [1.649, 1.559, 4.434]],
  "species": ["Pb", "Pb", "Sr", "Sn"],
  "frac_coords": [[0.000, 0.000, 0.500], [0.000, 0.500, 0.000], [0.500, 0.500, 0.500], [0.500, 0.000, 0.000]]
}

---

{
  "formula": "SmErNi2Ge2",
  "functional": "PBE",
  "state": "optimized geometry",
  "cell": [[-1.146, 1.284, -3.872], [-2.784, 0.146, 3.191], [2.151, 6.665, 1.573]],
  "species": ["Sm", "Er", "Ni", "Ni", "Ge", "Ge"],
  "frac_coords": [[0.000, 0.000, 0.000], [0.000, 0.000, 0.500], [0.333, 0.667, 0.716], [0.667, 0.333, 0.284], [0.333, 0.667, 0.268], [0.667, 0.333, 0.732]]
}

---

{
  "formula": "Tl4AsSe5",
  "functional": "PBE",
  "state": "optimized geometry",
  "cell": [[-3.674, -3.581, -3.125], [3.270, -3.323, -5.811], [-0.102, -7.046, 2.419]],
  "species": ["Tl", "Tl", "Tl", "Tl", "As", "Se", "Se", "Se", "Se", "Se"],
  "frac_coords": [[0.410, 0.402, 0.790], [0.812, 0.790, 0.598], [0.199, 0.210, 0.402], [0.602, 0.598, 0.210], [0.039, 0.000, 0.000], [0.907, 0.371, 0.819], [0.278, 0.819, 0.629], [0.726, 0.181, 0.371], [0.097, 0.629, 0.181], [0.440, 0.000, 0.000]]
}

---

| no. | E (eV/atom) |
| --- | --- |
| 1 | -6.09 |
| 2 | -3.64 |
| 3 | -5.77 |
| 4 | -3.37 |